i | First-principles (GGA-PBE) data for a relaxed IrPtIO2 crystal, as listed in Alexandria via LeMat-Bulk.

Its symmetry is No. 123. The calculation puts the density of states at the Fermi level at 6.927 states/eV per cell.

a = 3.755 Å, b = 3.755 Å, c = 8.561 Å
α = 90.00°, β = 90.00°, γ = 90.00°
Site moments in Bohr magnetons follow the coordinates.
Positions (direct):
I (0.000, 0.000, 0.500)  0.01
Ir (0.000, 0.000, 0.000)  0.26
O (0.000, 0.500, 0.000)  0.08
O (0.500, 0.000, 0.000)  0.08
Pt (0.500, 0.500, 0.500)  0.01


ii | First-principles (GGA-PBE) data for a relaxed IrPtIO2 crystal, as listed in Alexandria via LeMat-Bulk.

Its symmetry is No. 123. The calculation puts the density of states at the Fermi level at 6.225 states/eV per cell.

a = 3.763 Å, b = 3.763 Å, c = 8.710 Å
α = 90.00°, β = 90.00°, γ = 90.00°
Site moments in Bohr magnetons follow the coordinates.
Positions (direct):
I (0.000, 0.000, 0.500)  0.00
Ir (0.500, 0.500, 0.500)  0.01
O (0.000, 0.500, 0.000)  0.18
O (0.500, 0.000, 0.000)  0.18
Pt (0.000, 0.000, 0.000)  0.30


Winner for stability: i


i | First-principles (GGA-PBE) data for a relaxed IrPtI2O crystal, as listed in Alexandria via LeMat-Bulk.

Its symmetry is No. 123. The calculation puts the density of states at the Fermi level at 5.181 states/eV per cell.

a = 5.519 Å, b = 5.519 Å, c = 3.691 Å
α = 90.00°, β = 90.00°, γ = 90.00°
Positions (direct):
I (0.000, 0.500, 0.000)
I (0.500, 0.000, 0.000)
Ir (0.000, 0.000, 0.000)
O (0.000, 0.000, 0.500)
Pt (0.500, 0.500, 0.500)


ii | First-principles (GGA-PBE) data for a relaxed IrPtI2O crystal, as listed in Alexandria via LeMat-Bulk.

Its symmetry is No. 123. The calculation puts the density of states at the Fermi level at 6.550 states/eV per cell.

a = 5.510 Å, b = 5.510 Å, c = 3.719 Å
α = 90.00°, β = 90.00°, γ = 90.00°
Site moments in Bohr magnetons follow the coordinates.
Positions (direct):
I (0.000, 0.500, 0.000)  0.00
I (0.500, 0.000, 0.000)  0.00
Ir (0.500, 0.500, 0.500)  0.00
O (0.000, 0.000, 0.500)  0.17
Pt (0.000, 0.000, 0.000)  0.17


Winner for stability: i


i | First-principles (GGA-PBE) data for a relaxed ReIrI2O crystal, as listed in Alexandria via LeMat-Bulk.

Its symmetry is No. 123. The calculation puts the density of states at the Fermi level at 4.582 states/eV per cell.

a = 5.409 Å, b = 5.409 Å, c = 3.689 Å
α = 90.00°, β = 90.00°, γ = 90.00°
Positions (direct):
I (0.000, 0.500, 0.000)
I (0.500, 0.000, 0.000)
Re (0.000, 0.000, 0.000)
Ir (0.500, 0.500, 0.500)
O (0.000, 0.000, 0.500)


ii | First-principles (GGA-PBE) data for a relaxed ReIrI2O crystal, as listed in Alexandria via LeMat-Bulk.

Its symmetry is No. 123. The calculation puts the density of states at the Fermi level at 3.505 states/eV per cell.

a = 5.657 Å, b = 5.657 Å, c = 3.710 Å
α = 90.00°, β = 90.00°, γ = 90.00°
Site moments in Bohr magnetons follow the coordinates.
Positions (direct):
I (0.000, 0.500, 0.000)  0.07
I (0.500, 0.000, 0.000)  0.07
Re (0.500, 0.500, 0.500)  3.51
Ir (0.000, 0.000, 0.000)  -0.01
O (0.000, 0.000, 0.500)  0.00


Winner for stability: i